The following is a DFT calculation (PBE) of a geometry-optimized BeCr2AgB structure.

Calculated values
Energy relative to the elements ... 386 meV/atom
N(E_F) ... 4.94 states/eV/cell
SG ... P4/mmm, No. 123

a b c (Å): 4.0776 4.0776 3.7149
angles (deg): 90.00 90.00 90.00
Last column: nearest neighbours and their distance in Å.
Atoms (fractional coordinates):
1 Be 0.0000 0.0000 0.0000  2 B 1.86
2 Cr 0.0000 0.5000 0.5000  2 B 2.04
3 Cr 0.5000 0.0000 0.5000  2 B 2.04
4 Ag 0.5000 0.5000 0.0000  8 Cr 2.76, 4 Be 2.88
5 B 0.0000 0.0000 0.5000  2 Be 1.86, 4 Cr 2.04


The following is a DFT calculation (PBE) of a geometry-optimized Zn2AgCl structure.

Calculated values
Formation energy without anion corrections ... 0.038 eV per atom
Relative energy among the computed polymorphs ... 0.84 eV/f.u.
N(E_F) ... 0.79 states/eV/cell
SG ... P4/mmm, No. 123

a b c (Å): 3.7852 3.7852 5.8798
angles (deg): 90.00 90.00 90.00
Last column: nearest neighbours and their distance in Å.
Atoms (fractional coordinates):
1 Zn 0.0000 0.5000 0.0000  4 Zn 2.68
2 Zn 0.5000 0.0000 0.0000  4 Zn 2.68
3 Ag 0.0000 0.0000 0.5000  4 Cl 2.68
4 Cl 0.5000 0.5000 0.5000  4 Ag 2.68


The following is a DFT calculation (PBE) of a geometry-optimized SrCeAg2S4 structure.

Calculated values
Formation energy without anion corrections ... -1.112 eV per atom
N(E_F) ... 7.30 states/eV/cell
SG ... I222, No. 23

a b c (Å): 6.8851 7.1124 7.8757
angles (deg): 90.00 90.00 90.00
Last column: nearest neighbours and their distance in Å.
Atoms (fractional coordinates):
1 Sr 0.0000 0.0000 0.0000  8 S 3.13-3.27
2 Sr 0.5000 0.5000 0.5000  8 S 3.13-3.27
3 Ce 0.0000 0.0000 0.5000  4 S 2.69
4 Ce 0.5000 0.5000 0.0000  4 S 2.69
5 Ag 0.0000 0.5000 0.1874  4 S 2.46-2.68
6 Ag 0.0000 0.5000 0.8126  4 S 2.46-2.68
7 Ag 0.5000 0.0000 0.3126  4 S 2.46-2.68
8 Ag 0.5000 0.0000 0.6874  4 S 2.46-2.68
9 S 0.2253 0.2217 0.3065  2 Ag 2.46-2.68, 1 Ce 2.69
10 S 0.2253 0.7783 0.6935  2 Ag 2.46-2.68, 1 Ce 2.69
11 S 0.2747 0.2783 0.8065  2 Ag 2.46-2.68, 1 Ce 2.69
12 S 0.2747 0.7217 0.1935  2 Ag 2.46-2.68, 1 Ce 2.69
13 S 0.7253 0.2783 0.1935  2 Ag 2.46-2.68, 1 Ce 2.69
14 S 0.7253 0.7217 0.8065  2 Ag 2.46-2.68, 1 Ce 2.69
15 S 0.7747 0.2217 0.6935  2 Ag 2.46-2.68, 1 Ce 2.69
16 S 0.7747 0.7783 0.3065  2 Ag 2.46-2.68, 1 Ce 2.69


The following is a DFT calculation (PBE) of a geometry-optimized K4Ti4I12O structure.

Calculated values
Formation energy without anion corrections ... -1.194 eV per atom
N(E_F) ... 6.03 states/eV/cell
SG ... I4/m, No. 87

a b c (Å): 10.7005 10.7005 10.7005
angles (deg): 98.48 98.48 134.84
Last column: nearest neighbours and their distance in Å.
Atoms (fractional coordinates):
1 K 0.0838 0.6794 0.7631  4 I 3.51-3.77
2 K 0.3206 0.0838 0.4044  4 I 3.51-3.77
3 K 0.6794 0.9162 0.5956  4 I 3.51-3.77
4 K 0.9162 0.3206 0.2369  4 I 3.51-3.77
5 Ti 0.3587 0.4723 0.8310  1 O 2.01
6 Ti 0.4723 0.6413 0.1136  1 O 2.01
7 Ti 0.5277 0.3587 0.8864  1 O 2.01
8 Ti 0.6413 0.5277 0.1690  1 O 2.01
9 I 0.0869 0.3746 0.9444  2 Ti 2.85-2.86
10 I 0.1425 0.0869 0.7122  2 Ti 2.85-2.86
11 I 0.1525 0.4376 0.5901  1 Ti 2.92
12 I 0.3746 0.4302 0.2878  2 Ti 2.85-2.86
13 I 0.4302 0.1425 0.0556  2 Ti 2.85-2.86
14 I 0.4376 0.8475 0.2851  1 Ti 2.92
15 I 0.5624 0.1525 0.7149  1 Ti 2.92
16 I 0.5698 0.8575 0.9444  2 Ti 2.85-2.86
17 I 0.6254 0.5698 0.7122  2 Ti 2.85-2.86
18 I 0.8475 0.5624 0.4099  1 Ti 2.92
19 I 0.8575 0.9131 0.2878  2 Ti 2.85-2.86
20 I 0.9131 0.6254 0.0556  2 Ti 2.85-2.86
21 O 0.5000 0.5000 0.0000  4 Ti 2.01


The following is a DFT calculation (PBE) of a geometry-optimized FeMoSeBr2 structure.

Calculated values
Formation energy without anion corrections ... 0.645 eV per atom
Relative energy among the computed polymorphs ... 0.00 eV/f.u.
N(E_F) ... 8.24 states/eV/cell
SG ... P4/mmm, No. 123

a b c (Å): 5.2517 5.2517 4.8835
angles (deg): 90.00 90.00 90.00
Last column: nearest neighbours and their distance in Å.
Atoms (fractional coordinates):
1 Fe 0.0000 0.0000 0.0000  8 Br 3.59, 4 Se 3.71
2 Mo 0.5000 0.5000 0.5000  2 Se 2.44, 4 Br 2.63
3 Se 0.5000 0.5000 0.0000  2 Mo 2.44
4 Br 0.0000 0.5000 0.5000  2 Mo 2.63
5 Br 0.5000 0.0000 0.5000  2 Mo 2.63


The following is a DFT calculation (PBE) of a geometry-optimized TiNbAsBr2 structure.

Calculated values
Formation energy without anion corrections ... 0.379 eV per atom
Relative energy among the computed polymorphs ... 0.00 eV/f.u.
N(E_F) ... 5.92 states/eV/cell
SG ... P4/mmm, No. 123

a b c (Å): 5.1502 5.1502 5.1118
angles (deg): 90.00 90.00 90.00
Last column: nearest neighbours and their distance in Å.
Atoms (fractional coordinates):
1 Ti 0.0000 0.0000 0.0000  8 Br 3.63, 4 As 3.64
2 Nb 0.5000 0.5000 0.5000  2 As 2.56, 4 Br 2.58
3 As 0.5000 0.5000 0.0000  2 Nb 2.56
4 Br 0.0000 0.5000 0.5000  2 Nb 2.58
5 Br 0.5000 0.0000 0.5000  2 Nb 2.58


The following is a DFT calculation (PBE) of a geometry-optimized K3Ac2SnSe6 structure.

Calculated values
Formation energy without anion corrections ... -1.422 eV per atom
N(E_F) ... 6.21 states/eV/cell
SG ... C2/m, No. 12

a b c (Å): 7.7435 7.7435 8.1671
angles (deg): 99.10 99.10 120.01
Last column: nearest neighbours and their distance in Å.
Atoms (fractional coordinates):
1 K 0.0000 0.0000 0.0000  6 Se 3.35-3.51
2 K 0.3343 0.6657 0.0000  6 Se 3.35-3.50
3 K 0.6657 0.3343 0.0000  6 Se 3.35-3.50
4 Ac 0.1668 0.8332 0.5000  6 Se 3.12
5 Ac 0.8332 0.1668 0.5000  6 Se 3.12
6 Sn 0.5000 0.5000 0.5000  6 Se 2.95-2.97
7 Se 0.1113 0.4284 0.2856  1 Sn 2.97, 2 Ac 3.12
8 Se 0.2543 0.2543 0.7127  1 Sn 2.95, 2 Ac 3.12
9 Se 0.4284 0.1113 0.2856  1 Sn 2.97, 2 Ac 3.12
10 Se 0.5716 0.8887 0.7144  1 Sn 2.97, 2 Ac 3.12
11 Se 0.7457 0.7457 0.2873  1 Sn 2.95, 2 Ac 3.12
12 Se 0.8887 0.5716 0.7144  1 Sn 2.97, 2 Ac 3.12


The following is a DFT calculation (PBE) of a geometry-optimized NbTe2MoN structure.

Calculated values
Formation energy without anion corrections ... 0.558 eV per atom
Relative energy among the computed polymorphs ... 0.00 eV/f.u.
N(E_F) ... 5.86 states/eV/cell
SG ... P4/mmm, No. 123

a b c (Å): 5.4425 5.4425 3.7684
angles (deg): 90.00 90.00 90.00
Last column: nearest neighbours and their distance in Å.
Atoms (fractional coordinates):
1 Nb 0.0000 0.0000 0.0000  8 Te 3.31
2 Te 0.0000 0.5000 0.5000  2 Mo 2.72
3 Te 0.5000 0.0000 0.5000  2 Mo 2.72
4 Mo 0.5000 0.5000 0.5000  2 N 1.88
5 N 0.5000 0.5000 0.0000  2 Mo 1.88


Which of these has the highest N(E_F)? FeMoSeBr2


Among the records above, which one has the lowest N(E_F)? Zn2AgCl


Look up the N(E_F) of the first one. 4.94 states/eV/cell


Which formula does entry 3 have? SrCeAg2S4